Record 1
# Li2ZnAu2

A PBEsol-optimized structure of Li2ZnAu2 (SCAN, Alexandria via LeMat-Bulk).

The space group is P4/mbm (No. 127) and the conventional cell measures 6.824, 6.824 and 3.396 Å, with angles of 90.00, 90.00 and 90.00 degrees. Symmetry generates all atoms from Li at (0.154, 0.346, 0.000), Zn at (0.000, 0.000, 0.500) and Au at (0.147, 0.647, 0.500).

For the energy of formation from the pure elements, the calculation gives -0.48 eV/atom. The value obtained for the total energy is -31.80 eV per atom.

Record 2
# Ca3CoSn

A PBEsol-optimized structure of Ca3CoSn (SCAN, Alexandria via LeMat-Bulk).

The space group is Pm-3m (No. 221) and the conventional cell measures 5.811, 5.811 and 5.811 Å, with angles of 90.00, 90.00 and 90.00 degrees. Symmetry generates all atoms from Ca at (0.000, 0.000, 0.500), Co at (0.500, 0.500, 0.500) and Sn at (0.000, 0.000, 0.000).

For the energy of formation from the pure elements, the calculation gives 0.49 eV/atom. The value obtained for the total energy is -15.96 eV per atom.

Record 3
# SrP2Se

A PBEsol-optimized structure of SrP2Se (SCAN, Alexandria via LeMat-Bulk).

The space group is F-43m (No. 216) and the conventional cell measures 6.959, 6.959 and 6.959 Å, with angles of 90.00, 90.00 and 90.00 degrees. Symmetry generates all atoms from Sr at (0.000, 0.000, 0.000), P at (0.000, 0.000, 0.500), P at (0.250, 0.250, 0.250) and Se at (0.250, 0.250, 0.750).

The calculation puts the energy relative to the elements, uncorrected at -0.06 eV per formula unit. The value obtained for the total energy is -15.80 eV per atom.

Record 4
# HgB2PbN

A PBEsol-optimized structure of HgB2PbN (SCAN, Alexandria via LeMat-Bulk).

The space group is P4/mmm (No. 123) and the conventional cell measures 3.916, 3.916 and 5.074 Å, with angles of 90.00, 90.00 and 90.00 degrees. Symmetry generates all atoms from Hg at (0.000, 0.000, 0.000), B at (0.000, 0.500, 0.500), Pb at (0.500, 0.500, 0.000) and N at (0.500, 0.500, 0.500).

The calculation puts the energy relative to the elements, uncorrected at 9.22 eV per formula unit. The value obtained for the total energy is -31.78 eV per atom.

Record 5
# Sr2YSc

A PBEsol-optimized structure of Sr2YSc (SCAN, Alexandria via LeMat-Bulk).

The space group is I4/mmm (No. 139) and the conventional cell measures 5.148, 5.148 and 10.973 Å, with angles of 90.00, 90.00 and 90.00 degrees. Symmetry generates all atoms from Sr at (0.000, 0.500, 0.250), Y at (0.000, 0.000, 0.000) and Sc at (0.000, 0.000, 0.500).

For the energy of formation from the pure elements, the calculation gives 0.35 eV/atom. The value obtained for the total energy is -21.31 eV per atom.

Record 6
# CaV2P2O10

A PBEsol-optimized structure of CaV2P2O10 (SCAN, Alexandria via LeMat-Bulk).

The space group is Fdd2 (No. 43) and the conventional cell measures 11.654, 15.781 and 7.179 Å, with angles of 90.00, 90.00 and 90.00 degrees. Symmetry generates all atoms from Ca at (0.000, 0.000, 0.000), V at (0.112, 0.119, 0.607), P at (0.000, 0.208, 0.995), O at (0.001, 0.417, 0.993), O at (0.012, 0.147, 0.829), O at (0.014, 0.349, 0.668), O at (0.106, 0.233, 0.476) and O at (0.109, 0.264, 0.013).

The calculation puts the energy relative to the elements, uncorrected at -41.64 eV per formula unit. The value obtained for the total energy is -11.29 eV per atom.

Record 7
# KNi

A PBEsol-optimized structure of KNi (SCAN, Alexandria via LeMat-Bulk).

The space group is R-3m (No. 166, hexagonal axes) and the conventional cell measures 2.9093, 2.9093 and 15.3407 Å, with angles of 90.00, 90.00 and 120.00 degrees. Symmetry generates all atoms from K at (0.0000, 0.0000, 0.0000) and Ni at (0.0000, 0.0000, 0.5000).

For the energy of formation from the pure elements, the calculation gives 1.13 eV/atom. The value obtained for the total energy is -11.12 eV per atom.

Record 8
# SrTcRu2

A PBEsol-optimized structure of SrTcRu2 (SCAN, Alexandria via LeMat-Bulk).

The space group is C2/m (No. 12) and the conventional cell measures 5.759, 8.864 and 2.731 Å, with angles of 90.00, 109.94 and 90.00 degrees. Symmetry generates all atoms from Sr at (0.000, 0.000, 0.000), Tc at (0.000, 0.500, 0.000) and Ru at (0.250, 0.250, 0.500).

For the energy of formation from the pure elements, the calculation gives 0.99 eV/atom. The value obtained for the total energy is -30.75 eV per atom.